(1)
The following is a DFT calculation (PBE-GGA) of La4RuSBr2 after structural relaxation.

Unit cell a=7.4569 b=4.1132 c=7.9230 alpha=90.00 beta=106.41 gamma=90.00
Fractional positions:
La1 0.2225 0.0000 0.2032
La2 0.2594 0.5000 0.7969
La3 0.7406 0.5000 0.2031
La4 0.7775 0.0000 0.7968
Ru1 0.0000 0.5000 0.0000
S1 0.5000 0.0000 0.0000
Br1 0.0000 0.0000 0.5000
Br2 0.5000 0.5000 0.5000

mass density: 6.04 g/cm3
DFT total energy: -0.2160 hartree per atom
total moment: 0.00 μB per formula unit
energy relative to the elements, uncorrected: -1.322 eV per atom

(2)
The following is a DFT calculation (PBE-GGA) of La6Ru2SBr3 after structural relaxation.

Unit cell a=7.2869 b=7.2869 c=8.1755 alpha=98.43 beta=98.43 gamma=120.02
Fractional positions:
La1 0.0858 0.4330 0.8014
La2 0.2188 0.2188 0.1996
La3 0.4330 0.0858 0.8014
La4 0.5670 0.9142 0.1986
La5 0.7812 0.7812 0.8004
La6 0.9142 0.5670 0.1986
Ru1 0.1665 0.8335 0.0000
Ru2 0.8335 0.1665 0.0000
S1 0.5000 0.5000 0.0000
Br1 0.0000 0.0000 0.5000
Br2 0.3339 0.6661 0.5000
Br3 0.6661 0.3339 0.5000

mass density: 6.04 g/cm3
DFT total energy: -0.2199 hartree per atom
total moment: 0.00 μB per formula unit
energy relative to the elements, uncorrected: -1.211 eV per atom

(3)
The following is a DFT calculation (PBE-GGA) of La4RuS2Br after structural relaxation.

Unit cell a=7.3168 b=4.1396 c=7.4841 alpha=90.00 beta=107.59 gamma=90.00
Fractional positions:
La1 0.2412 0.0000 0.2194
La2 0.2503 0.5000 0.7671
La3 0.7497 0.5000 0.2329
La4 0.7588 0.0000 0.7806
Ru1 0.5000 0.0000 0.0000
S1 0.0000 0.0000 0.5000
S2 0.0000 0.5000 0.0000
Br1 0.5000 0.5000 0.5000

mass density: 6.15 g/cm3
DFT total energy: -0.2315 hartree per atom
total moment: 0.00 μB per formula unit
energy relative to the elements, uncorrected: -1.435 eV per atom